[1]
VASP calculation (PBE) on crystalline CeNd7Tm12 at its relaxed geometry.

Output
calculated formation energy: 242 meV per atom
density of states at the Fermi level: 1.941 states/eV per atom
total DFT energy (no corrections): -264.4 eV for the cell shown

Lattice parameters (Å, degrees): 12.2272 12.2272 15.1068 90.00 90.00 120.00
Space group R-3 (No. 148, hexagonal axes)
Inequivalent atoms, fractional coordinates:
Ce 0.0000 0.0000 0.0000 x3
Nd 0.0000 0.0000 0.5000 x3
Nd 0.0649 0.2342 0.9026 x18
Tm 0.0230 0.5834 0.2102 x18
Tm 0.0416 0.8550 0.3121 x18

***

[2]
VASP calculation (PBE) on crystalline MnTl2Bi2 at its relaxed geometry.

Output
calculated formation energy: 459 meV per atom
density of states at the Fermi level: 1.417 states/eV per atom
total DFT energy (no corrections): -38.7 eV for the cell shown

Lattice parameters (Å, degrees): 7.0033 7.0033 5.9147 90.00 90.00 90.00
Space group P4/mbm (No. 127)
Inequivalent atoms, fractional coordinates:
Mn 0.0000 0.0000 0.0000 x2
Tl 0.1740 0.3260 0.5000 x4
Bi 0.1596 0.6596 0.0000 x4